Material: FeTeNF2
Method: DFT, PBE with a Hubbard U
State: relaxed

## Properties
Crystal system   tetragonal
Final energy   -0.15389 Ha/atom
E above lowest polymorph   515 meV per atom
Theoretical density   4.42 g cm⁻³

abc: 4.631 4.631 4.123
angles: 90.00 90.00 90.00
Atoms (fractional coordinates):
Fe  0.000  0.000  0.000
Te  0.500  0.500  0.500
N  0.500  0.500  0.000
F  0.000  0.500  0.500
F  0.500  0.000  0.500